A geometry-optimized MgNiHPt2 structure. Source: Alexandria, functional PBE.

Cell: 3.9182 3.9182 4.0044 Å, 90.00 90.00 90.00°
Last column: nearest neighbours and their distance in Å.
Atoms (fractional coordinates):
1 Ni 0.5000 0.5000 0.5000  4 Mg 2.77, 8 Pt 2.80
2 Pt 0.0000 0.5000 0.0000  2 H 1.96
3 Mg 0.0000 0.0000 0.5000  2 H 2.00
4 Pt 0.5000 0.0000 0.0000  2 H 1.96
5 H 0.0000 0.0000 0.0000  4 Pt 1.96, 2 Mg 2.00

DOS(E_F) = 3.1 states/eV/f.u.
Energy relative to the lowest polymorph listed for this composition = 94.3 meV per atom
Energy = -4.855 eV/atom
M_tot = 0.8 μB/f.u.
Calculated density = 12.81 Mg/m³


A geometry-optimized Pr5TmP6 structure. Source: Alexandria, functional PBE.

Cell: 7.2130 7.2148 7.2130 Å, 59.99 80.39 70.50°
Last column: nearest neighbours and their distance in Å.
Atoms (fractional coordinates):
1 P 0.7555 0.4067 0.6747  1 Tm 2.88, 5 Pr 2.94-3.00
2 Tm 0.0000 0.0000 0.0000  6 P 2.88
3 Pr 0.5000 0.5000 0.0000  6 P 2.94-3.01
4 Pr 0.0000 0.3338 0.3325  6 P 2.95
5 P 0.2455 0.2433 0.0000  1 Tm 2.88, 5 Pr 2.95-3.01
6 Pr 0.0000 0.6662 0.6675  6 P 2.95
7 P 0.2445 0.5933 0.3253  1 Tm 2.88, 5 Pr 2.94-3.00
8 P 0.2445 0.9186 0.6747  1 Tm 2.88, 5 Pr 2.94-3.00
9 P 0.7555 0.0814 0.3253  1 Tm 2.88, 5 Pr 2.94-3.00
10 Pr 0.5000 0.8322 0.3357  6 P 2.94-3.00
11 Pr 0.5000 0.1678 0.6643  6 P 2.94-3.00
12 P 0.7545 0.7567 0.0000  1 Tm 2.88, 5 Pr 2.95-3.01

DOS(E_F) = 0.9 states/eV/f.u.
Calculated formation energy = -1.52 eV per atom
Energy = -6.585 eV/atom
M_tot = 0.0 μB/f.u.
Calculated density = 5.74 Mg/m³


A geometry-optimized PaCo2Ge3 structure. Source: Alexandria, functional PBE.

Cell: 4.0354 8.0908 9.4563 Å, 106.48 90.00 104.44°
Last column: nearest neighbours and their distance in Å.
Atoms (fractional coordinates):
1 Ge 0.3630 0.7261 0.8106  4 Co 2.36-2.49, 1 Ge 2.54
2 Co 0.5060 0.0120 0.7749  5 Ge 2.35-2.57
3 Co 0.3598 0.7197 0.5462  7 Ge 2.32-2.58
4 Co 0.1950 0.3901 0.1048  6 Ge 2.44-2.55
5 Ge 0.6370 0.2739 0.1894  4 Co 2.36-2.49, 1 Ge 2.54
6 Pa 0.8450 0.6900 0.2989  9 Ge 2.97-3.30, 6 Co 3.05-3.31
7 Ge 0.6563 0.3125 0.9324  4 Co 2.39-2.55, 1 Ge 2.54
8 Co 0.4940 0.9880 0.2251  5 Ge 2.35-2.57
9 Ge 0.5000 0.0000 0.5000  4 Co 2.36-2.57
10 Ge 0.9559 0.9118 0.6512  4 Co 2.35-2.54
11 Ge 0.2187 0.4374 0.3767  4 Co 2.32-2.58
12 Pa 0.1550 0.3100 0.7011  9 Ge 2.97-3.30, 6 Co 3.05-3.31
13 Pa 0.0000 0.0000 0.0000  6 Co 2.92-2.95, 6 Ge 3.10-3.17
14 Co 0.6402 0.2803 0.4538  7 Ge 2.32-2.58
15 Ge 0.7813 0.5626 0.6233  4 Co 2.32-2.58
16 Ge 0.0441 0.0882 0.3488  4 Co 2.35-2.54
17 Co 0.8050 0.6099 0.8952  6 Ge 2.44-2.55
18 Ge 0.3437 0.6875 0.0676  4 Co 2.39-2.55, 1 Ge 2.54

DOS(E_F) = 3.1 states/eV/f.u.
Calculated formation energy = -0.36 eV per atom
Energy relative to the lowest polymorph listed for this composition = 0.0 meV per atom
Energy = -6.622 eV/atom
M_tot = 0.0 μB/f.u.
Calculated density = 9.88 Mg/m³


A geometry-optimized Li2ZnP structure. Source: Alexandria, functional PBE.

Cell: 8.6831 8.6831 8.6831 Å, 19.09 19.09 19.09°
Last column: nearest neighbours and their distance in Å.
Atoms (fractional coordinates):
1 Zn 0.7500 0.7500 0.7500  6 Zn 2.88, 6 Li 2.94
2 P 0.2500 0.2500 0.2500  6 Li 2.48
3 Li 0.5115 0.5115 0.5115  3 P 2.48
4 Li 0.9885 0.9885 0.9885  3 P 2.48

DOS(E_F) = 3.0 states/eV/f.u.
Calculated formation energy = -0.18 eV per atom
Energy relative to the lowest polymorph listed for this composition = 217.0 meV per atom
Energy = -2.803 eV/atom
M_tot = 0.0 μB/f.u.
Calculated density = 2.99 Mg/m³


A geometry-optimized Cd2CuCl structure. Source: Alexandria, functional PBE.

Cell: 3.2006 3.2763 7.8558 Å, 89.93 90.00 90.00°
Last column: nearest neighbours and their distance in Å.
Atoms (fractional coordinates):
1 Cd 0.0000 0.2510 0.5405  2 Cl 2.79, 4 Cu 2.82
2 Cu 0.5000 0.7500 0.7500  8 Cd 2.82
3 Cl 0.5000 0.2500 0.2500  4 Cd 2.79
4 Cd 0.0000 0.2490 0.9595  2 Cl 2.79, 4 Cu 2.82

Formation energy (no corrections) = -187 meV/atom
DOS(E_F) = 0.8 states/eV/f.u.
Energy relative to the lowest polymorph listed for this composition = 0.0 meV per atom
Energy = -2.131 eV/atom
M_tot = 0.0 μB/f.u.
Calculated density = 6.53 Mg/m³


A geometry-optimized Nb2GaTe structure. Source: Alexandria, functional PBE.

Cell: 4.7141 4.7141 4.7141 Å, 60.00 60.00 60.00°
Last column: nearest neighbours and their distance in Å.
Atoms (fractional coordinates):
1 Nb 0.2500 0.2500 0.2500  4 Te 2.89, 4 Ga 2.89
2 Te 0.5000 0.5000 0.5000  8 Nb 2.89
3 Nb 0.7500 0.7500 0.7500  4 Te 2.89, 4 Ga 2.89
4 Ga 0.0000 0.0000 0.0000  8 Nb 2.89

Formation energy (no corrections) = 3 meV/atom
DOS(E_F) = 3.4 states/eV/f.u.
Energy relative to the lowest polymorph listed for this composition = 0.0 meV per atom
Energy = -6.574 eV/atom
M_tot = 0.0 μB/f.u.
Calculated density = 8.59 Mg/m³


A geometry-optimized Cs2VGaCl6 structure. Source: Alexandria, functional PBE.

Cell: 7.5380 7.5380 7.5372 Å, 60.00 60.00 90.00°
Last column: nearest neighbours and their distance in Å.
Atoms (fractional coordinates):
1 Cl 0.2740 0.2740 0.4521  1 V 2.41
2 Cl 0.7260 0.7260 0.0000  1 V 2.41
3 Cl 0.7260 0.7260 0.5479  1 V 2.41
4 Ga 0.0000 0.0000 0.0000  6 Cl 2.92
5 Cl 0.7260 0.2740 0.0000  1 V 2.41
6 Cl 0.2740 0.2740 0.0000  1 V 2.41
7 V 0.5000 0.5000 0.0000  6 Cl 2.41
8 Cl 0.2740 0.7260 0.0000  1 V 2.41
9 Cs 0.2500 0.7500 0.5000  12 Cl 3.78
10 Cs 0.7500 0.2500 0.5000  12 Cl 3.78

Formation energy (no corrections) = -1469 meV/atom
DOS(E_F) = 25.2 states/eV/f.u.
Energy = -3.963 eV/atom
M_tot = 2.0 μB/f.u.
Calculated density = 3.29 Mg/m³


A geometry-optimized FeGeS2 structure. Source: Alexandria, functional PBE.

Cell: 4.4885 4.4885 4.4885 Å, 60.00 60.00 60.00°
Last column: nearest neighbours and their distance in Å.
Atoms (fractional coordinates):
1 S 0.7500 0.7500 0.7500  4 Ge 2.75, 4 Fe 2.75
2 Fe 0.0000 0.0000 0.0000  8 S 2.75
3 Ge 0.5000 0.5000 0.5000  8 S 2.75
4 S 0.2500 0.2500 0.2500  4 Ge 2.75, 4 Fe 2.75

Formation energy (no corrections) = 295 meV/atom
DOS(E_F) = 4.6 states/eV/f.u.
Energy relative to the lowest polymorph listed for this composition = 447.5 meV per atom
Energy = -5.039 eV/atom
M_tot = 3.6 μB/f.u.
Calculated density = 5.00 Mg/m³


A geometry-optimized Li2HfV3N6 structure. Source: Alexandria, functional PBE.

Cell: 5.0595 5.0595 5.2587 Å, 98.78 98.78 120.19°
Last column: nearest neighbours and their distance in Å.
Atoms (fractional coordinates):
1 Li 0.3362 0.6638 0.0000  6 N 2.14-2.18
2 N 0.7590 0.7590 0.2756  3 V 2.01-2.12, 1 Hf 2.16, 2 Li 2.17
3 V 0.5000 0.5000 0.5000  6 N 2.01-2.06
4 V 0.1806 0.8194 0.5000  6 N 1.96-2.12
5 Hf 0.0000 0.0000 0.0000  6 N 2.16-2.17
6 N 0.5770 0.9122 0.7306  3 V 1.96-2.06, 2 Li 2.14-2.18, 1 Hf 2.17
7 V 0.8194 0.1806 0.5000  6 N 1.96-2.12
8 N 0.2410 0.2410 0.7244  3 V 2.01-2.12, 1 Hf 2.16, 2 Li 2.17
9 N 0.0878 0.4230 0.2694  3 V 1.96-2.06, 2 Li 2.14-2.18, 1 Hf 2.17
10 Li 0.6638 0.3362 0.0000  6 N 2.14-2.18
11 N 0.4230 0.0878 0.2694  3 V 1.96-2.06, 2 Li 2.14-2.18, 1 Hf 2.17
12 N 0.9122 0.5770 0.7306  3 V 1.96-2.06, 2 Li 2.14-2.18, 1 Hf 2.17

Formation energy (no corrections) = -1101 meV/atom
DOS(E_F) = 5.9 states/eV/f.u.
Energy = -8.691 eV/atom
M_tot = 0.0 μB/f.u.
Calculated density = 6.43 Mg/m³


A geometry-optimized La2Pm5NdSc structure. Source: Alexandria, functional PBE.

Cell: 5.4986 11.3757 10.2390 Å, 90.00 90.00 103.99°
Last column: nearest neighbours and their distance in Å.
Atoms (fractional coordinates):
1 Pm 0.2762 0.5525 0.3209  2 Pm 3.25, 1 Nd 3.29, 3 Sc 3.36-3.47, 1 La 3.55
2 Sc 0.2152 0.4305 0.0086  7 Pm 3.36-3.50, 2 La 3.41-3.42, 2 Nd 3.71
3 Pm 0.7231 0.4461 0.1966  2 Pm 3.25, 1 Nd 3.29, 3 Sc 3.36-3.47, 1 La 3.55
4 La 0.8819 0.7638 0.2487  1 Sc 3.42, 9 Pm 3.55-3.79
5 Pm 0.5001 0.0001 0.7579  2 Nd 3.42, 6 Pm 3.76-3.79, 4 La 3.78-3.79
6 Pm 0.3736 0.7472 0.0081  1 Sc 3.50, 4 La 3.70, 6 Pm 3.78-3.91
7 La 0.8825 0.7650 0.7671  1 Sc 3.41, 9 Pm 3.55-3.78
8 Pm 0.9997 0.9995 0.0080  2 Nd 3.56, 4 La 3.58-3.73, 6 Pm 3.76-3.91
9 Nd 0.6025 0.2050 0.0080  6 Pm 3.29-3.56
10 Pm 0.2769 0.5539 0.6966  2 Pm 3.25, 1 Nd 3.29, 3 Sc 3.36-3.47, 1 La 3.55
11 Pm 0.4999 0.9999 0.2579  2 Nd 3.42, 6 Pm 3.76-3.79, 4 La 3.78-3.79
12 Pm 0.7238 0.4475 0.8209  2 Pm 3.25, 1 Nd 3.29, 3 Sc 3.36-3.47, 1 La 3.55
13 La 0.1175 0.2350 0.2671  1 Sc 3.41, 9 Pm 3.55-3.78
14 Nd 0.3975 0.7950 0.5080  6 Pm 3.29-3.56
15 La 0.1181 0.2362 0.7487  1 Sc 3.42, 9 Pm 3.55-3.79
16 Pm 0.0003 0.0005 0.5080  2 Nd 3.56, 4 La 3.58-3.73, 6 Pm 3.76-3.91
17 Sc 0.7848 0.5695 0.5086  7 Pm 3.36-3.50, 2 La 3.41-3.42, 2 Nd 3.71
18 Pm 0.6264 0.2528 0.5081  1 Sc 3.50, 4 La 3.70, 6 Pm 3.78-3.91

DOS(E_F) = 14.6 states/eV/f.u.
Calculated formation energy = 0.12 eV per atom
Energy = -4.849 eV/atom
M_tot = 0.0 μB/f.u.
Calculated density = 6.37 Mg/m³


A geometry-optimized NaLaEuSn structure. Source: Alexandria, functional PBE.

Cell: 5.6271 5.6271 5.6271 Å, 60.00 60.00 60.00°
Last column: nearest neighbours and their distance in Å.
Atoms (fractional coordinates):
1 Eu 0.5000 0.5000 0.5000  4 Sn 3.45, 4 Na 3.45
2 Na 0.7500 0.7500 0.7500  4 La 3.45, 4 Eu 3.45
3 La 0.0000 0.0000 0.0000  4 Sn 3.45, 4 Na 3.45
4 Sn 0.2500 0.2500 0.2500  4 Eu 3.45, 4 La 3.45

DOS(E_F) = 10.9 states/eV/f.u.
Calculated formation energy = -0.37 eV per atom
Energy = -5.504 eV/atom
M_tot = 7.6 μB/f.u.
Calculated density = 5.70 Mg/m³


A geometry-optimized Nd2SmSi2 structure. Source: Alexandria, functional PBE.

Cell: 4.4024 6.6147 10.0237 Å, 77.84 77.31 70.56°
Last column: nearest neighbours and their distance in Å.
Atoms (fractional coordinates):
1 Si 0.0181 0.8622 0.1016  1 Si 2.43
2 Nd 0.5150 0.6580 0.3120  6 Si 3.11-3.24
3 Si 0.1076 0.3401 0.4446  1 Si 2.41
4 Nd 0.6793 0.7295 0.9120  4 Si 3.07-3.35
5 Nd 0.4850 0.3420 0.6880  6 Si 3.11-3.24
6 Si 0.9819 0.1378 0.8984  1 Si 2.43
7 Sm 0.7782 0.0822 0.3613  4 Si 2.91-3.06
8 Nd 0.3207 0.2705 0.0880  4 Si 3.07-3.35
9 Si 0.8924 0.6599 0.5554  1 Si 2.41
10 Sm 0.2218 0.9178 0.6387  4 Si 2.91-3.06

Formation energy (no corrections) = -577 meV/atom
DOS(E_F) = 4.0 states/eV/f.u.
Energy relative to the lowest polymorph listed for this composition = 73.7 meV per atom
Energy = -5.597 eV/atom
M_tot = 0.0 μB/f.u.
Calculated density = 6.19 Mg/m³


Copy entry 10 word for word.
A geometry-optimized La2Pm5NdSc structure. Source: Alexandria, functional PBE.

Cell: 5.4986 11.3757 10.2390 Å, 90.00 90.00 103.99°
Last column: nearest neighbours and their distance in Å.
Atoms (fractional coordinates):
1 Pm 0.2762 0.5525 0.3209  2 Pm 3.25, 1 Nd 3.29, 3 Sc 3.36-3.47, 1 La 3.55
2 Sc 0.2152 0.4305 0.0086  7 Pm 3.36-3.50, 2 La 3.41-3.42, 2 Nd 3.71
3 Pm 0.7231 0.4461 0.1966  2 Pm 3.25, 1 Nd 3.29, 3 Sc 3.36-3.47, 1 La 3.55
4 La 0.8819 0.7638 0.2487  1 Sc 3.42, 9 Pm 3.55-3.79
5 Pm 0.5001 0.0001 0.7579  2 Nd 3.42, 6 Pm 3.76-3.79, 4 La 3.78-3.79
6 Pm 0.3736 0.7472 0.0081  1 Sc 3.50, 4 La 3.70, 6 Pm 3.78-3.91
7 La 0.8825 0.7650 0.7671  1 Sc 3.41, 9 Pm 3.55-3.78
8 Pm 0.9997 0.9995 0.0080  2 Nd 3.56, 4 La 3.58-3.73, 6 Pm 3.76-3.91
9 Nd 0.6025 0.2050 0.0080  6 Pm 3.29-3.56
10 Pm 0.2769 0.5539 0.6966  2 Pm 3.25, 1 Nd 3.29, 3 Sc 3.36-3.47, 1 La 3.55
11 Pm 0.4999 0.9999 0.2579  2 Nd 3.42, 6 Pm 3.76-3.79, 4 La 3.78-3.79
12 Pm 0.7238 0.4475 0.8209  2 Pm 3.25, 1 Nd 3.29, 3 Sc 3.36-3.47, 1 La 3.55
13 La 0.1175 0.2350 0.2671  1 Sc 3.41, 9 Pm 3.55-3.78
14 Nd 0.3975 0.7950 0.5080  6 Pm 3.29-3.56
15 La 0.1181 0.2362 0.7487  1 Sc 3.42, 9 Pm 3.55-3.79
16 Pm 0.0003 0.0005 0.5080  2 Nd 3.56, 4 La 3.58-3.73, 6 Pm 3.76-3.91
17 Sc 0.7848 0.5695 0.5086  7 Pm 3.36-3.50, 2 La 3.41-3.42, 2 Nd 3.71
18 Pm 0.6264 0.2528 0.5081  1 Sc 3.50, 4 La 3.70, 6 Pm 3.78-3.91

DOS(E_F) = 14.6 states/eV/f.u.
Calculated formation energy = 0.12 eV per atom
Energy = -4.849 eV/atom
M_tot = 0.0 μB/f.u.
Calculated density = 6.37 Mg/m³